# Pm3Pr3Ho

A geometry-optimized Pm3Pr3Ho structure (PBE, Alexandria).

As for the volume: 35.02 Å³/atom. As for the space group: P6_3/m (176). The calculation puts the formation energy at 0.028 eV/atom.

abc: 5.892 9.802 9.802
angles: 120.00 90.00 90.00
Sites, in units of the cell vectors:
1 Ho 0.750 0.333 0.667
2 Ho 0.250 0.667 0.333
3 Pm 0.250 0.954 0.192
4 Pm 0.750 0.192 0.238
5 Pm 0.250 0.808 0.762
6 Pm 0.750 0.762 0.954
7 Pm 0.250 0.238 0.046
8 Pm 0.750 0.046 0.808
9 Pr 0.750 0.475 0.095
10 Pr 0.250 0.380 0.475
11 Pr 0.250 0.095 0.620
12 Pr 0.250 0.525 0.905
13 Pr 0.750 0.620 0.525
14 Pr 0.750 0.905 0.380



# Pm6Pr4Ho

A geometry-optimized Pm6Pr4Ho structure (PBE, Alexandria).

As for the volume: 36.56 Å³/atom. As for the space group: I-42m (121). The calculation puts the formation energy at 0.378 eV/atom.

abc: 7.659 7.659 8.736
angles: 116.00 116.00 90.00
Sites, in units of the cell vectors:
1 Pm 0.000 0.500 0.000
2 Pm 0.500 0.000 0.000
3 Pm 0.910 0.462 0.373
4 Pm 0.462 0.910 0.373
5 Pm 0.538 0.538 0.627
6 Pm 0.090 0.090 0.627
7 Ho 0.500 0.500 0.000
8 Pr 0.256 0.256 0.162
9 Pr 0.093 0.744 0.838
10 Pr 0.744 0.093 0.838
11 Pr 0.907 0.907 0.162



# Pm5Pr12Ho2

A geometry-optimized Pm5Pr12Ho2 structure (PBE, Alexandria).

As for the volume: 35.71 Å³/atom. As for the space group: C2/m (12). The calculation puts the formation energy at 0.162 eV/atom.

abc: 7.574 10.397 10.237
angles: 66.49 90.00 111.36
Sites, in units of the cell vectors:
1 Pm 0.000 0.000 0.500
2 Pm 0.677 0.354 0.802
3 Pm 0.323 0.646 0.198
4 Pm 0.176 0.351 0.829
5 Pm 0.824 0.649 0.171
6 Pr 0.090 0.681 0.852
7 Pr 0.910 0.319 0.148
8 Pr 0.075 0.668 0.502
9 Pr 0.925 0.332 0.498
10 Pr 0.492 0.985 0.326
11 Pr 0.508 0.015 0.674
12 Pr 0.409 0.319 0.148
13 Pr 0.593 0.668 0.502
14 Pr 0.009 0.018 0.783
15 Pr 0.591 0.681 0.852
16 Pr 0.407 0.332 0.498
17 Pr 0.991 0.982 0.217
18 Ho 0.298 0.000 0.000
19 Ho 0.702 0.000 0.000



| no. | total energy (eV for the cell shown) |
| --- | --- |
| 1 | -65.95 |
| 2 | -48.04 |
| 3 | -87.19 |